Entry 1:
A relaxed CsPmP2 crystal. Source: Alexandria, functional GGA-PBE.

The structure in POSCAR format:
```
CsPmP2
1.0
5.133 0.000 0.000
0.000 5.133 0.000
0.000 0.000 4.089
Cs Pm P
1 1 2
Direct
0.000 0.000 0.000
0.500 0.500 0.000
0.000 0.500 0.500
0.500 0.000 0.500
```

Summary:
Magnetic moment, μB per atom: 0.000
SG: P4/mmm
Energy relative to the elements, kJ per mole of atoms: -2.04
Crystal system: tetragonal
ρ, kg/m3: 5237
Density of states at the Fermi level, states/eV per cell: 2.4

Entry 2:
A relaxed CsPmP crystal. Source: Alexandria, functional GGA-PBE.

The structure in POSCAR format:
```
CsPmP
1.0
4.087 0.000 0.000
0.000 4.087 0.000
0.000 0.000 28.063
Cs Pm P
4 4 4
Direct
0.000 0.000 0.084
0.000 0.000 0.916
0.500 0.500 0.416
0.500 0.500 0.584
0.000 0.000 0.208
0.000 0.000 0.792
0.500 0.500 0.292
0.500 0.500 0.708
0.000 0.000 0.311
0.000 0.000 0.689
0.500 0.500 0.189
0.500 0.500 0.811
```

Summary:
Magnetic moment, μB per atom: 0.000
SG: I4/mmm
Energy relative to the elements, kJ per mole of atoms: -78.46
Crystal system: tetragonal
ρ, kg/m3: 4377
Density of states at the Fermi level, states/eV per cell: 7.8

Entry 3:
A relaxed Cs2PmP2S6 crystal. Source: Alexandria, functional GGA-PBE.

The structure in POSCAR format:
```
Cs2PmP2S6
1.0
6.224 -3.569 0.000
6.224 3.569 0.000
-3.986 0.000 7.202
Cs Pm P S
2 1 2 6
Direct
0.221 0.221 0.198
0.779 0.779 0.802
0.000 0.000 0.500
0.446 0.446 0.821
0.554 0.554 0.179
0.238 0.714 0.222
0.253 0.253 0.653
0.286 0.762 0.778
0.714 0.238 0.222
0.747 0.747 0.347
0.762 0.286 0.778
```

Summary:
Magnetic moment, μB per atom: 0.000
SG: C2/m
Formation energy (no corrections), eV per formula unit: -9.896
Crystal system: monoclinic
ρ, kg/m3: 3452
Density of states at the Fermi level, states/eV per cell: 2.9

Entry 4:
A relaxed Cs2PmP2Se6 crystal. Source: Alexandria, functional GGA-PBE.

The structure in POSCAR format:
```
Cs2PmP2Se6
1.0
3.784 2.185 7.231
-3.784 2.185 7.231
0.000 -4.370 7.231
Cs Pm P Se
2 1 2 6
Direct
0.241 0.241 0.241
0.759 0.759 0.759
0.000 0.000 0.000
0.445 0.445 0.445
0.555 0.555 0.555
0.234 0.745 0.745
0.255 0.255 0.766
0.255 0.766 0.255
0.745 0.234 0.745
0.745 0.745 0.234
0.766 0.255 0.255
```

Summary:
Magnetic moment, μB per atom: 0.000
SG: R-3m
Formation energy (no corrections), eV per formula unit: -8.502
Crystal system: trigonal
ρ, kg/m3: 4381
Density of states at the Fermi level, states/eV per cell: 2.2

Entry 5:
A relaxed CsPrP2S8 crystal. Source: Alexandria, functional GGA-PBE.

The structure in POSCAR format:
```
CsPrP2S8
1.0
6.303 0.000 0.000
-3.152 5.459 0.000
0.000 0.000 10.052
Cs Pr P S
1 1 2 8
Direct
0.000 0.000 0.000
0.000 0.000 0.500
0.333 0.667 0.725
0.667 0.333 0.275
0.002 0.378 0.667
0.333 0.667 0.926
0.376 0.998 0.667
0.378 0.376 0.333
0.622 0.624 0.667
0.624 0.002 0.333
0.667 0.333 0.074
0.998 0.622 0.333
```

Summary:
Magnetic moment, μB per atom: 0.168
SG: P-3
Formation energy (no corrections), eV per formula unit: -7.193
Crystal system: trigonal
ρ, kg/m3: 2844
Density of states at the Fermi level, states/eV per cell: 10.3

Entry 6:
A relaxed Cs3P3Pt5 crystal. Source: Alexandria, functional GGA-PBE.

The structure in POSCAR format:
```
Cs3P3Pt5
1.0
7.275 0.000 0.000
-3.638 6.301 0.000
0.000 0.000 6.715
Cs P Pt
3 3 5
Direct
0.000 0.330 0.000
0.330 0.000 0.000
0.670 0.670 0.000
0.000 0.365 0.500
0.365 0.000 0.500
0.635 0.635 0.500
0.000 0.758 0.500
0.242 0.242 0.500
0.333 0.667 0.500
0.667 0.333 0.500
0.758 0.000 0.500
```

Summary:
Magnetic moment, μB per atom: 0.000
SG: P-62m
Energy relative to the elements, kJ per mole of atoms: -38.01
Crystal system: hexagonal
ρ, kg/m3: 7914
Density of states at the Fermi level, states/eV per cell: 7.1

Entry 7:
A relaxed Cs2P2Pt crystal. Source: Alexandria, functional GGA-PBE.

The structure in POSCAR format:
```
Cs2P2Pt
1.0
6.451 0.000 0.000
0.000 6.451 0.000
0.000 0.000 6.047
Cs P Pt
4 4 2
Direct
0.181 0.319 0.000
0.319 0.819 0.000
0.681 0.181 0.000
0.819 0.681 0.000
0.129 0.629 0.500
0.371 0.129 0.500
0.629 0.871 0.500
0.871 0.371 0.500
0.000 0.000 0.500
0.500 0.500 0.500
```

Summary:
Magnetic moment, μB per atom: 0.000
SG: P4/mbm
Energy relative to the elements, kJ per mole of atoms: -16.93
Crystal system: tetragonal
ρ, kg/m3: 6900
Density of states at the Fermi level, states/eV per cell: 3.9

Entry 8:
A relaxed Cs2PPt2 crystal. Source: Alexandria, functional GGA-PBE.

The structure in POSCAR format:
```
Cs2PPt2
1.0
2.237 -10.992 0.000
2.237 10.992 0.000
0.000 0.000 7.285
Cs P Pt
4 2 4
Direct
0.026 0.974 0.500
0.202 0.798 0.341
0.798 0.202 0.841
0.974 0.026 0.000
0.367 0.633 0.384
0.633 0.367 0.884
0.141 0.859 0.854
0.412 0.588 0.654
0.588 0.412 0.154
0.859 0.141 0.354
```

Summary:
Magnetic moment, μB per atom: 0.000
Energy above the lowest structure with this stoichiometry, eV/f.u.: 0.00
SG: Cmc2_1
Energy relative to the elements, kJ per mole of atoms: -23.65
Crystal system: orthorhombic
ρ, kg/m3: 6369
Density of states at the Fermi level, states/eV per cell: 2.3

Entry 9:
A relaxed Cs2P2Pt3 crystal. Source: Alexandria, functional GGA-PBE.

The structure in POSCAR format:
```
Cs2P2Pt3
1.0
7.124 0.000 0.000
0.000 6.995 0.000
-2.849 0.000 7.182
Cs P Pt
4 4 6
Direct
0.185 0.105 0.429
0.185 0.395 0.929
0.815 0.605 0.071
0.815 0.895 0.571
0.332 0.626 0.608
0.332 0.874 0.108
0.668 0.126 0.892
0.668 0.374 0.392
0.000 0.000 0.000
0.000 0.500 0.500
0.433 0.632 0.348
0.433 0.868 0.848
0.567 0.132 0.152
0.567 0.368 0.652
```

Summary:
Magnetic moment, μB per atom: 0.000
Energy above the lowest structure with this stoichiometry, eV/f.u.: 0.60
SG: P2_1/c
Energy relative to the elements, kJ per mole of atoms: -44.99
Crystal system: monoclinic
ρ, kg/m3: 8472
Density of states at the Fermi level, states/eV per cell: 3.0

Entry 10:
A relaxed CsPPt2 crystal. Source: Alexandria, functional GGA-PBE.

The structure in POSCAR format:
```
CsPPt2
1.0
4.269 0.000 0.000
-2.134 3.697 0.000
0.000 0.000 19.657
Cs P Pt
3 3 6
Direct
0.000 0.000 0.000
0.333 0.667 0.667
0.667 0.333 0.333
0.000 0.000 0.500
0.333 0.667 0.167
0.667 0.333 0.833
0.000 0.000 0.191
0.000 0.000 0.809
0.333 0.667 0.476
0.333 0.667 0.858
0.667 0.333 0.142
0.667 0.333 0.524
```

Summary:
Magnetic moment, μB per atom: 0.000
SG: R-3m
Energy relative to the elements, kJ per mole of atoms: -27.64
Crystal system: trigonal
ρ, kg/m3: 8898
Density of states at the Fermi level, states/eV per cell: 4.6

Entry 11:
A relaxed Cs3PPt crystal. Source: Alexandria, functional GGA-PBE.

The structure in POSCAR format:
```
Cs3PPt
1.0
4.095 -5.555 0.000
4.095 5.555 0.000
-3.528 0.000 12.419
Cs P Pt
6 2 2
Direct
0.058 0.674 0.847
0.298 0.298 0.614
0.326 0.942 0.153
0.674 0.058 0.847
0.702 0.702 0.386
0.942 0.326 0.153
0.274 0.274 0.945
0.726 0.726 0.055
0.478 0.478 0.107
0.522 0.522 0.893
```

Summary:
Magnetic moment, μB per atom: 0.040
Energy above the lowest structure with this stoichiometry, eV/f.u.: 0.00
SG: C2/m
Energy relative to the elements, kJ per mole of atoms: -22.09
Crystal system: monoclinic
ρ, kg/m3: 3673
Density of states at the Fermi level, states/eV per cell: 8.9

Entry 12:
A relaxed Cs3P2Pt crystal. Source: Alexandria, functional GGA-PBE.

The structure in POSCAR format:
```
Cs3P2Pt
1.0
5.286 -5.307 0.000
5.286 5.307 0.000
-0.712 0.000 7.635
Cs P Pt
6 4 2
Direct
0.110 0.890 0.750
0.268 0.396 0.529
0.396 0.268 0.029
0.604 0.732 0.971
0.732 0.604 0.471
0.890 0.110 0.250
0.029 0.551 0.137
0.449 0.971 0.363
0.551 0.029 0.637
0.971 0.449 0.863
0.236 0.764 0.250
0.764 0.236 0.750
```

Summary:
Magnetic moment, μB per atom: 0.000
SG: C2/c
Energy relative to the elements, kJ per mole of atoms: -40.75
Crystal system: monoclinic
ρ, kg/m3: 5084
Density of states at the Fermi level, states/eV per cell: 2.3

Entry 13:
A relaxed Cs4PPt5 crystal. Source: Alexandria, functional GGA-PBE.

The structure in POSCAR format:
```
Cs4PPt5
1.0
0.000 11.101 2.306
6.254 0.000 2.306
6.254 11.101 0.000
Cs P Pt
4 1 5
Direct
0.008 0.992 0.726
0.274 0.726 0.992
0.726 0.274 0.008
0.992 0.008 0.274
0.383 0.383 0.617
0.268 0.732 0.268
0.302 0.673 0.698
0.673 0.302 0.327
0.732 0.268 0.732
0.885 0.885 0.115
```

Summary:
Magnetic moment, μB per atom: 0.000
SG: Fmm2
Energy relative to the elements, kJ per mole of atoms: -7.44
Crystal system: orthorhombic
ρ, kg/m3: 7975
Density of states at the Fermi level, states/eV per cell: 3.0

Entry 14:
A relaxed CsPPt3 crystal. Source: Alexandria, functional GGA-PBE.

The structure in POSCAR format:
```
CsPPt3
1.0
5.175 0.000 0.000
0.000 5.175 0.000
0.000 0.000 5.175
Cs P Pt
1 1 3
Direct
0.000 0.000 0.000
0.500 0.500 0.500
0.000 0.000 0.500
0.000 0.500 0.000
0.500 0.000 0.000
```

Summary:
Magnetic moment, μB per atom: 0.093
Energy above the lowest structure with this stoichiometry, eV/f.u.: 13.97
SG: Pm-3m
Energy relative to the elements, kJ per mole of atoms: 235.22
Crystal system: cubic
ρ, kg/m3: 8975
Density of states at the Fermi level, states/eV per cell: 5.1

Entry 15:
A relaxed CsPPt3 crystal. Source: Alexandria, functional GGA-PBE.

The structure in POSCAR format:
```
CsPPt3
1.0
6.356 0.000 0.000
0.000 6.999 0.000
-1.581 0.000 6.726
Cs P Pt
2 2 6
Direct
0.199 0.250 0.423
0.801 0.750 0.577
0.418 0.750 0.035
0.582 0.250 0.965
0.077 0.750 0.081
0.282 0.056 0.947
0.282 0.444 0.947
0.718 0.556 0.053
0.718 0.944 0.053
0.923 0.250 0.919
```

Summary:
Magnetic moment, μB per atom: 0.000
Energy above the lowest structure with this stoichiometry, eV/f.u.: 0.00
SG: P2_1/m
Energy relative to the elements, kJ per mole of atoms: -34.34
Crystal system: monoclinic
ρ, kg/m3: 8315
Density of states at the Fermi level, states/eV per cell: 2.8

Entry 16:
A relaxed Cs3PPt crystal. Source: Alexandria, functional GGA-PBE.

The structure in POSCAR format:
```
Cs3PPt
1.0
6.462 0.000 0.000
0.000 6.462 0.000
0.000 0.000 6.462
Cs P Pt
3 1 1
Direct
0.000 0.000 0.500
0.000 0.500 0.000
0.500 0.000 0.000
0.500 0.500 0.500
0.000 0.000 0.000
```

Summary:
Magnetic moment, μB per atom: 0.379
Energy above the lowest structure with this stoichiometry, eV/f.u.: 2.73
SG: Pm-3m
Energy relative to the elements, kJ per mole of atoms: 30.59
Crystal system: cubic
ρ, kg/m3: 3844
Density of states at the Fermi level, states/eV per cell: 11.8

Entry 17:
A relaxed CsPPt3 crystal. Source: Alexandria, functional GGA-PBE.

The structure in POSCAR format:
```
CsPPt3
1.0
4.771 0.000 0.000
0.000 4.771 0.000
0.000 0.000 4.771
Cs P Pt
1 1 3
Direct
0.000 0.000 0.000
0.500 0.500 0.500
0.000 0.500 0.500
0.500 0.000 0.500
0.500 0.500 0.000
```

Summary:
Magnetic moment, μB per atom: 0.000
Energy above the lowest structure with this stoichiometry, eV/f.u.: 2.53
SG: Pm-3m
Energy relative to the elements, kJ per mole of atoms: 14.52
Crystal system: cubic
ρ, kg/m3: 11455
Density of states at the Fermi level, states/eV per cell: 8.6

Entry 18:
A relaxed CsP2Pt3 crystal. Source: Alexandria, functional GGA-PBE.

The structure in POSCAR format:
```
CsP2Pt3
1.0
7.826 -1.911 0.000
7.826 1.911 0.000
-4.558 0.000 8.979
Cs P Pt
2 4 6
Direct
0.137 0.137 0.034
0.863 0.863 0.966
0.164 0.164 0.680
0.447 0.447 0.741
0.553 0.553 0.259
0.836 0.836 0.320
0.075 0.075 0.406
0.281 0.281 0.606
0.429 0.429 0.349
0.571 0.571 0.651
0.719 0.719 0.394
0.925 0.925 0.594
```

Summary:
Magnetic moment, μB per atom: 0.000
SG: C2/m
Energy relative to the elements, kJ per mole of atoms: -44.49
Crystal system: monoclinic
ρ, kg/m3: 9645
Density of states at the Fermi level, states/eV per cell: 4.8

Entry 19:
A relaxed Cs2PPt2 crystal. Source: Alexandria, functional GGA-PBE.

The structure in POSCAR format:
```
Cs2PPt2
1.0
6.562 0.000 0.000
0.000 6.562 0.000
0.000 0.000 5.986
Cs P Pt
4 2 4
Direct
0.181 0.319 0.000
0.319 0.819 0.000
0.681 0.181 0.000
0.819 0.681 0.000
0.000 0.000 0.500
0.500 0.500 0.500
0.153 0.653 0.500
0.347 0.153 0.500
0.653 0.847 0.500
0.847 0.347 0.500
```

Summary:
Magnetic moment, μB per atom: 0.000
Energy above the lowest structure with this stoichiometry, eV/f.u.: 1.27
SG: P4/mbm
Energy relative to the elements, kJ per mole of atoms: 0.84
Crystal system: tetragonal
ρ, kg/m3: 8850
Density of states at the Fermi level, states/eV per cell: 7.7

Entry 20:
A relaxed CsPPt2 crystal. Source: Alexandria, functional GGA-PBE.

The structure in POSCAR format:
```
CsPPt2
1.0
4.088 0.000 0.000
0.000 4.088 0.000
0.000 0.000 13.100
Cs P Pt
2 2 4
Direct
0.000 0.000 0.000
0.500 0.500 0.500
0.000 0.000 0.323
0.500 0.500 0.823
0.000 0.500 0.245
0.000 0.500 0.745
0.500 0.000 0.245
0.500 0.000 0.745
```

Summary:
Magnetic moment, μB per atom: 0.000
SG: I4mm
Energy relative to the elements, kJ per mole of atoms: -45.32
Crystal system: tetragonal
ρ, kg/m3: 8407
Density of states at the Fermi level, states/eV per cell: 0.6

Entry 21:
A relaxed Cs5P2Pt5 crystal. Source: Alexandria, functional GGA-PBE.

The structure in POSCAR format:
```
Cs5P2Pt5
1.0
8.545 -2.187 0.000
8.545 2.187 0.000
-0.432 0.000 10.842
Cs P Pt
5 2 5
Direct
0.000 0.000 0.000
0.161 0.161 0.434
0.312 0.312 0.158
0.688 0.688 0.842
0.839 0.839 0.566
0.493 0.493 0.717
0.507 0.507 0.283
0.021 0.021 0.665
0.377 0.377 0.809
0.500 0.500 0.500
0.623 0.623 0.191
0.979 0.979 0.335
```

Summary:
Magnetic moment, μB per atom: 0.000
SG: C2/m
Energy relative to the elements, kJ per mole of atoms: -27.95
Crystal system: monoclinic
ρ, kg/m3: 6974
Density of states at the Fermi level, states/eV per cell: 3.9

Entry 22:
A relaxed Cs3PPt crystal. Source: Alexandria, functional GGA-PBE.

The structure in POSCAR format:
```
Cs3PPt
1.0
5.541 0.000 0.000
0.000 10.800 0.000
0.000 0.000 7.074
Cs P Pt
6 2 2
Direct
0.250 0.044 0.249
0.250 0.250 0.747
0.250 0.456 0.249
0.750 0.544 0.751
0.750 0.750 0.253
0.750 0.956 0.751
0.250 0.750 0.589
0.750 0.250 0.411
0.250 0.750 0.902
0.750 0.250 0.098
```

Summary:
Magnetic moment, μB per atom: 0.000
Energy above the lowest structure with this stoichiometry, eV/f.u.: 0.28
SG: Pmmn
Energy relative to the elements, kJ per mole of atoms: -16.75
Crystal system: orthorhombic
ρ, kg/m3: 4901
Density of states at the Fermi level, states/eV per cell: 11.4

Entry 23:
A relaxed Cs2P2Pt crystal. Source: Alexandria, functional GGA-PBE.

The structure in POSCAR format:
```
Cs2P2Pt
1.0
5.834 0.000 0.000
0.000 13.587 0.000
0.000 0.000 5.060
Cs P Pt
4 4 2
Direct
0.217 0.143 0.000
0.283 0.643 0.000
0.717 0.357 0.000
0.783 0.857 0.000
0.129 0.445 0.500
0.371 0.945 0.500
0.629 0.055 0.500
0.871 0.555 0.500
0.000 0.000 0.500
0.500 0.500 0.500
```

Summary:
Magnetic moment, μB per atom: 0.000
SG: Pbam
Energy relative to the elements, kJ per mole of atoms: -36.76
Crystal system: orthorhombic
ρ, kg/m3: 4330
Density of states at the Fermi level, states/eV per cell: 2.8